Version one
Material: NiWIO2
Method: DFT, PBE with a Hubbard U
State: relaxed

Crystal system: tetragonal

Cell: 4.0572 4.0572 5.1303 Å, 90.00 90.00 90.00°
Fractional positions:
Ni: 0.0000 0.0000 0.0000
W: 0.5000 0.5000 0.5000
I: 0.0000 0.0000 0.5000
O: 0.0000 0.5000 0.0000
O: 0.5000 0.0000 0.0000

=====

Version two
Material: NiWIO2
Method: DFT, PBE with a Hubbard U
State: relaxed

Crystal system: tetragonal

Cell: 3.8796 3.8796 7.3787 Å, 90.00 90.00 90.00°
Fractional positions:
Ni: 0.0000 0.0000 0.0000
W: 0.5000 0.5000 0.5000
I: 0.5000 0.5000 0.0000
O: 0.0000 0.5000 0.5000
O: 0.5000 0.0000 0.5000

=====

Least stable = version one